Below is crystalline RbMg3Sn2 at its relaxed geometry, with properties calculated at the PBE level.

The structure belongs to space group C2/m (No. 12); the cell edges are 17.8882, 4.8370 and 9.1721 Å and the angles 90.00°, 112.51° and 90.00°. The distinct sites, in fractional coordinates, are Rb at (0.1576, 0.0000, 0.0665), Mg at (0.0344, 0.0000, 0.3521), Mg at (0.0893, 0.5000, 0.6703), Mg at (0.1816, 0.5000, 0.4410), Sn at (0.0249, 0.5000, 0.1720) and Sn at (0.1770, 0.0000, 0.6541).

The calculation puts the density of states at the Fermi level at 2.90 states/eV per cell. As for the total magnetization: 0.00 μB per formula unit. The calculation puts the formation energy at -1.2 eV/f.u.

Below is crystalline La2DyMo2N6 at its relaxed geometry, with properties calculated at the PBE level.

The structure belongs to space group R-3m (No. 166, hexagonal axes); the cell edges are 5.8292, 5.8292 and 18.4221 Å and the angles 90.00°, 90.00° and 120.00°. The distinct sites, in fractional coordinates, are La at (0.0000, 0.0000, 0.2019), Dy at (0.0000, 0.0000, 0.0000), Mo at (0.0000, 0.0000, 0.3985) and N at (0.0100, 0.5050, 0.7626).

The energy relative to the elements, uncorrected is -847 meV/atom. The calculation puts the density of states at the Fermi level at 7.52 states/eV per cell. As for the total magnetization: 0.00 μB per formula unit.

Below is crystalline LiGdIr at its relaxed geometry, with properties calculated at the PBE level.

The structure belongs to space group P-6m2 (No. 187); the cell edges are 4.4153, 4.4153 and 3.3382 Å and the angles 90.00°, 90.00° and 120.00°. The distinct sites, in fractional coordinates, are Li at (0.0000, 0.0000, 0.0000), Gd at (0.6667, 0.3333, 0.5000) and Ir at (0.3333, 0.6667, 0.0000).

The calculation puts the density of states at the Fermi level at 1.28 states/eV per cell. As for the total magnetization: 7.09 μB per formula unit. Its excess energy over the best structure of this formula in the dataset is 0 meV per atom. The calculation puts the formation energy at -1.2 eV/f.u.

| no. | theoretical density (Mg/m³) | E (eV/atom) |
| --- | --- | --- |
| 1 | 3.586 | -2.4955 |
| 2 | 6.582 | -8.6716 |
| 3 | 10.501 | -8.6748 |